A relaxed U2AgS5 crystal. Source: Alexandria via LeMat-Bulk, functional PBE.

Computed properties:
N(E_F) ... 15.9 states/eV/cell
Calculated density ... 5.32 g/cm3
Uncorrected energy ... -6.70 eV per atom

Lattice parameters (Å, degrees): 7.3492 7.3492 10.4508 65.82 65.82 87.31
Last column: magnetic moment on the atom in μB.
Atoms (fractional coordinates):
U 0.5000 0.0000 0.0000  1.73
U 0.5000 0.5000 0.0000  1.58
U 0.5000 0.5000 0.5000  1.58
U 0.0000 0.5000 0.5000  1.73
Ag 0.8366 0.1634 0.2500  -0.03
Ag 0.1634 0.8366 0.7500  -0.03
S 0.6033 0.3967 0.7500  -0.06
S 0.3967 0.6033 0.2500  -0.06
S 0.2772 0.7881 0.9508  -0.07
S 0.8097 0.7719 0.3727  -0.08
S 0.7881 0.2772 0.4508  -0.07
S 0.2281 0.1903 0.1273  -0.08
S 0.7719 0.8097 0.8727  -0.08
S 0.1903 0.2281 0.6273  -0.08
S 0.2119 0.7228 0.5492  -0.07
S 0.7228 0.2119 0.0492  -0.07

A relaxed UAg2S4 crystal. Source: Alexandria via LeMat-Bulk, functional PBE.

Computed properties:
N(E_F) ... 7.5 states/eV/cell
Calculated density ... 6.17 g/cm3
Energy relative to the lowest polymorph listed for this composition ... 11 meV/atom
Uncorrected energy ... -5.41 eV per atom

Lattice parameters (Å, degrees): 8.2778 7.4294 7.4294 67.24 56.14 56.14
Last column: magnetic moment on the atom in μB.
Atoms (fractional coordinates):
U 0.0000 0.5000 0.0000  0.48
U 0.5000 0.5000 0.0000  0.48
Ag 0.0608 0.1892 0.6892  -0.01
Ag 0.5000 0.0000 0.0000  -0.02
Ag 0.5000 0.5000 0.5000  -0.02
Ag 0.9392 0.8108 0.3108  -0.01
S 0.2177 0.3279 0.2366  -0.03
S 0.2177 0.7366 0.8279  -0.03
S 0.3145 0.2274 0.7274  -0.03
S 0.7307 0.2274 0.7274  -0.03
S 0.2693 0.7726 0.2726  -0.03
S 0.7823 0.2634 0.1721  -0.03
S 0.6855 0.7726 0.2726  -0.03
S 0.7823 0.6721 0.7634  -0.03

A relaxed UAg2S4 crystal. Source: Alexandria via LeMat-Bulk, functional PBE.

Computed properties:
N(E_F) ... 2.0 states/eV/cell
Calculated density ... 5.86 g/cm3
Energy relative to the lowest polymorph listed for this composition ... 0 meV/atom
Uncorrected energy ... -5.43 eV per atom

Lattice parameters (Å, degrees): 7.7286 7.7286 11.0438 90.00 90.00 90.00
Last column: magnetic moment on the atom in μB.
Atoms (fractional coordinates):
U 0.0000 0.7307 0.5000  0.16
U 0.2693 0.0000 0.7500  0.16
U 0.7307 0.0000 0.2500  0.16
U 0.0000 0.2693 0.0000  0.16
Ag 0.7488 0.7488 0.8750  -0.01
Ag 0.2512 0.7488 0.1250  -0.01
Ag 0.7488 0.2512 0.6250  -0.01
Ag 0.2512 0.2512 0.3750  -0.01
Ag 0.7598 0.5000 0.2500  -0.01
Ag 0.5000 0.2402 0.0000  -0.01
Ag 0.5000 0.7598 0.5000  -0.01
Ag 0.2402 0.5000 0.7500  -0.01
S 0.2262 0.9887 0.5156  -0.01
S 0.7738 0.9887 0.4844  -0.01
S 0.0113 0.2262 0.7656  -0.01
S 0.7738 0.0113 0.0156  -0.01
S 0.2414 0.4843 0.9963  -0.01
S 0.5157 0.2414 0.2463  -0.01
S 0.4843 0.7586 0.7463  -0.01
S 0.2414 0.5157 0.5037  -0.01
S 0.7586 0.4843 0.0037  -0.01
S 0.7586 0.5157 0.4963  -0.01
S 0.4843 0.2414 0.7537  -0.01
S 0.5157 0.7586 0.2537  -0.01
S 0.9887 0.2262 0.2344  -0.01
S 0.2262 0.0113 0.9844  -0.01
S 0.9887 0.7738 0.2656  -0.01
S 0.0113 0.7738 0.7344  -0.01

A relaxed U3AgS6 crystal. Source: Alexandria via LeMat-Bulk, functional PBE.

Computed properties:
N(E_F) ... 37.1 states/eV/cell
Calculated density ... 7.51 g/cm3
Uncorrected energy ... -7.36 eV per atom

Lattice parameters (Å, degrees): 6.5742 8.3464 8.3464 101.50 90.00 90.00
Last column: magnetic moment on the atom in μB.
Atoms (fractional coordinates):
U 0.4792 0.9225 0.7219  2.31
U 0.9792 0.7219 0.9225  2.31
U 0.3778 0.3976 0.6024  2.20
U 0.8778 0.6024 0.3976  2.20
U 0.9792 0.0775 0.2781  2.31
U 0.4792 0.2781 0.0775  2.31
Ag 0.0124 0.2007 0.7993  -0.01
Ag 0.5124 0.7993 0.2007  -0.01
S 0.1772 0.6971 0.6275  -0.08
S 0.6772 0.6275 0.6971  -0.08
S 0.2238 0.4574 0.9109  -0.08
S 0.7238 0.9109 0.4574  -0.08
S 0.1986 0.0240 0.9760  -0.07
S 0.6361 0.2295 0.7705  -0.07
S 0.1361 0.7705 0.2295  -0.07
S 0.6986 0.9760 0.0240  -0.07
S 0.2238 0.0891 0.5426  -0.08
S 0.7238 0.5426 0.0891  -0.08
S 0.1772 0.3725 0.3029  -0.08
S 0.6772 0.3029 0.3725  -0.08